# 1
Density functional theory data (PBE-GGA) for a relaxed Pa4OsSe3 crystal.

Values from the calculation:
Calculated total energy = -8.4660 eV/atom
Calculated volume = 192 Å³ per cell
Energy relative to the elements, uncorrected = -1007.6 meV/atom

Unit cell a=3.932 b=7.167 c=7.167 alpha=108.10 beta=90.00 gamma=90.00
Sites, in units of the cell vectors:
Pa 0.000 0.229 0.229
Pa 0.500 0.758 0.242
Pa 0.000 0.771 0.771
Pa 0.500 0.242 0.758
Os 0.500 0.000 0.000
Se 0.000 0.000 0.500
Se 0.500 0.500 0.500
Se 0.000 0.500 0.000

---

# 2
Density functional theory data (PBE-GGA) for a relaxed PaOsSe2 crystal.

Values from the calculation:
Calculated total energy = -6.7958 eV/atom
Calculated volume = 82 Å³ per cell
Energy relative to the elements, uncorrected = 127.9 meV/atom

Unit cell a=3.193 b=3.193 c=9.440 alpha=80.26 beta=80.26 gamma=60.00
Sites, in units of the cell vectors:
Pa 0.500 0.500 0.500
Os 0.000 0.000 0.000
Se 0.085 0.085 0.744
Se 0.915 0.915 0.256

---

# 3
Density functional theory data (PBE-GGA) for a relaxed Pa4Te2OsSe crystal.

Values from the calculation:
Calculated total energy = -8.1408 eV/atom
Calculated volume = 211 Å³ per cell
Energy relative to the elements, uncorrected = -768.1 meV/atom

Unit cell a=4.030 b=7.294 c=7.549 alpha=107.68 beta=90.00 gamma=90.00
Sites, in units of the cell vectors:
Pa 0.500 0.249 0.217
Pa 0.500 0.751 0.783
Pa 0.000 0.277 0.794
Pa 0.000 0.723 0.206
Te 0.500 0.000 0.500
Te 0.000 0.500 0.500
Os 0.500 0.500 0.000
Se 0.000 0.000 0.000

---

# 4
Density functional theory data (PBE-GGA) for a relaxed TmPaOsSe crystal.

Values from the calculation:
Calculated total energy = -8.0163 eV/atom
Calculated volume = 97 Å³ per cell
Energy relative to the elements, uncorrected = -845.9 meV/atom

Unit cell a=3.951 b=3.951 c=7.519 alpha=90.00 beta=105.22 gamma=119.99
Sites, in units of the cell vectors:
Tm 0.951 0.374 0.340
Pa 0.329 0.563 0.907
Os 0.127 0.961 0.103
Se 0.471 0.133 0.619

---

# 5
Density functional theory data (PBE-GGA) for a relaxed PaSi3Os crystal.

Values from the calculation:
Energy relative to the lowest polymorph listed for this composition = 0 kJ/mol of formula units
Calculated total energy = -7.9568 eV/atom
Calculated volume = 86 Å³ per cell
Energy relative to the elements, uncorrected = -557.9 meV/atom

Unit cell a=4.169 b=4.169 c=5.742 alpha=111.29 beta=111.29 gamma=90.00
Sites, in units of the cell vectors:
Pa 0.994 0.994 0.989
Si 0.265 0.765 0.529
Si 0.765 0.265 0.529
Si 0.415 0.415 0.829
Os 0.652 0.652 0.304

---

# 6
Density functional theory data (PBE-GGA) for a relaxed PaSi3Os2 crystal.

Values from the calculation:
Calculated total energy = -8.4722 eV/atom
Calculated volume = 199 Å³ per cell
Energy relative to the elements, uncorrected = -434.8 meV/atom

Unit cell a=4.119 b=6.972 c=7.909 alpha=113.69 beta=105.10 gamma=90.00
Sites, in units of the cell vectors:
Pa 0.157 0.094 0.314
Pa 0.843 0.906 0.686
Si 0.697 0.445 0.395
Si 0.987 0.312 0.974
Si 0.372 0.239 0.743
Si 0.628 0.761 0.257
Si 0.013 0.688 0.026
Si 0.303 0.555 0.605
Os 0.533 0.211 0.066
Os 0.467 0.789 0.934
Os 0.147 0.574 0.294
Os 0.853 0.426 0.706

---

# 7
Density functional theory data (PBE-GGA) for a relaxed Pa2Si4Os3 crystal.

Values from the calculation:
Calculated total energy = -8.7098 eV/atom
Calculated volume = 155 Å³ per cell
Energy relative to the elements, uncorrected = -446.2 meV/atom

Unit cell a=5.557 b=5.557 c=6.452 alpha=102.25 beta=102.25 gamma=120.49
Sites, in units of the cell vectors:
Pa 0.628 0.628 0.255
Pa 0.372 0.372 0.745
Si 0.011 0.665 0.676
Si 0.665 0.011 0.676
Si 0.989 0.335 0.324
Si 0.335 0.989 0.324
Os 0.500 0.000 0.000
Os 0.000 0.000 0.000
Os 0.000 0.500 0.000

---

# 8
Density functional theory data (PBE-GGA) for a relaxed Pa3Si4Os2 crystal.

Values from the calculation:
Energy relative to the lowest polymorph listed for this composition = 20 kJ/mol of formula units
Calculated total energy = -8.6944 eV/atom
Calculated volume = 169 Å³ per cell
Energy relative to the elements, uncorrected = -623.4 meV/atom

Unit cell a=4.161 b=5.742 c=8.049 alpha=108.51 beta=90.00 gamma=111.24
Sites, in units of the cell vectors:
Pa 0.618 0.235 0.688
Pa 0.000 0.000 0.000
Pa 0.382 0.765 0.312
Si 0.719 0.437 0.068
Si 0.281 0.563 0.932
Si 0.907 0.814 0.607
Si 0.093 0.186 0.393
Os 0.694 0.387 0.354
Os 0.306 0.613 0.646

---

# 9
Density functional theory data (PBE-GGA) for a relaxed PaSi2Os4 crystal.

Values from the calculation:
Energy relative to the lowest polymorph listed for this composition = 21 kJ/mol of formula units
Calculated total energy = -9.7402 eV/atom
Calculated volume = 111 Å³ per cell
Energy relative to the elements, uncorrected = -417.2 meV/atom

Unit cell a=3.981 b=3.999 c=7.260 alpha=105.99 beta=90.00 gamma=90.00
Sites, in units of the cell vectors:
Pa 0.000 0.000 0.000
Si 0.500 0.583 0.165
Si 0.500 0.417 0.835
Os 0.500 0.815 0.630
Os 0.000 0.686 0.373
Os 0.500 0.185 0.370
Os 0.000 0.314 0.627

---

# 10
Density functional theory data (PBE-GGA) for a relaxed Pa4Si8Os crystal.

Values from the calculation:
Calculated total energy = -7.5743 eV/atom
Calculated volume = 252 Å³ per cell
Energy relative to the elements, uncorrected = -451.4 meV/atom

Unit cell a=3.940 b=3.981 c=16.088 alpha=90.00 beta=90.00 gamma=90.00
Sites, in units of the cell vectors:
Pa 0.000 0.000 0.102
Pa 0.000 0.500 0.613
Pa 0.500 0.500 0.399
Pa 0.500 0.000 0.891
Si 0.000 0.000 0.468
Si 0.000 0.500 0.949
Si 0.500 0.500 0.038
Si 0.500 0.000 0.552
Si 0.000 0.500 0.234
Si 0.000 0.000 0.752
Si 0.500 0.000 0.234
Si 0.500 0.500 0.752
Os 0.000 0.000 0.320

---

# 11
Density functional theory data (PBE-GGA) for a relaxed Pa3Si5Os6 crystal.

Values from the calculation:
Calculated total energy = -9.3692 eV/atom
Calculated volume = 479 Å³ per cell
Energy relative to the elements, uncorrected = -584.8 meV/atom

Unit cell a=4.134 b=9.327 c=12.417 alpha=90.00 beta=90.00 gamma=90.00
Sites, in units of the cell vectors:
Pa 0.000 0.247 0.669
Pa 0.500 0.753 0.169
Pa 0.500 0.753 0.831
Pa 0.000 0.246 0.000
Pa 0.500 0.754 0.500
Pa 0.000 0.247 0.331
Si 0.000 0.519 0.880
Si 0.000 0.853 0.670
Si 0.000 0.874 0.000
Si 0.500 0.481 0.620
Si 0.500 0.126 0.500
Si 0.000 0.519 0.120
Si 0.500 0.481 0.380
Si 0.000 0.853 0.330
Si 0.500 0.147 0.830
Si 0.500 0.147 0.170
Os 0.000 0.007 0.833
Os 0.500 0.993 0.667
Os 0.500 0.402 0.804
Os 0.500 0.535 0.000
Os 0.000 0.465 0.500
Os 0.000 0.598 0.696
Os 0.000 0.598 0.304
Os 0.500 0.016 0.000
Os 0.000 0.007 0.167
Os 0.500 0.402 0.196
Os 0.000 0.984 0.500
Os 0.500 0.993 0.333

---

# 12
Density functional theory data (PBE-GGA) for a relaxed Pa3Si4Os2 crystal.

Values from the calculation:
Energy relative to the lowest polymorph listed for this composition = 0 kJ/mol of formula units
Calculated total energy = -8.7175 eV/atom
Calculated volume = 171 Å³ per cell
Energy relative to the elements, uncorrected = -646.5 meV/atom

Unit cell a=4.177 b=5.721 c=7.982 alpha=104.44 beta=90.00 gamma=111.41
Sites, in units of the cell vectors:
Pa 0.673 0.346 0.658
Pa 0.000 0.000 0.000
Pa 0.327 0.654 0.342
Si 0.727 0.453 0.060
Si 0.273 0.547 0.940
Si 0.955 0.910 0.617
Si 0.045 0.090 0.383
Os 0.605 0.210 0.277
Os 0.395 0.790 0.723

---

# 13
Density functional theory data (PBE-GGA) for a relaxed Pa3Si3Os crystal.

Values from the calculation:
Calculated total energy = -8.5524 eV/atom
Calculated volume = 280 Å³ per cell
Energy relative to the elements, uncorrected = -554.3 meV/atom

Unit cell a=4.225 b=5.636 c=12.851 alpha=84.14 beta=80.54 gamma=67.99
Sites, in units of the cell vectors:
Pa 0.522 0.332 0.625
Pa 0.478 0.668 0.375
Pa 0.252 0.272 0.223
Pa 0.748 0.728 0.777
Pa 0.402 0.275 0.920
Pa 0.598 0.725 0.080
Si 0.870 0.711 0.550
Si 0.130 0.289 0.450
Si 0.119 0.838 0.925
Si 0.881 0.162 0.075
Si 0.951 0.863 0.236
Si 0.049 0.137 0.764
Os 0.761 0.066 0.412
Os 0.239 0.934 0.588

---

# 14
Density functional theory data (PBE-GGA) for a relaxed Pa2Si4Os5 crystal.

Values from the calculation:
Calculated total energy = -9.2586 eV/atom
Calculated volume = 186 Å³ per cell
Energy relative to the elements, uncorrected = -455.7 meV/atom

Unit cell a=5.823 b=5.763 c=7.054 alpha=77.97 beta=65.62 gamma=59.66
Sites, in units of the cell vectors:
Pa 0.881 0.000 0.238
Pa 0.119 0.000 0.762
Si 0.497 0.284 0.721
Si 0.503 0.716 0.279
Si 0.219 0.284 0.279
Si 0.781 0.716 0.721
Os 0.500 0.000 0.000
Os 0.000 0.500 0.000
Os 0.500 0.500 0.000
Os 0.250 0.500 0.500
Os 0.750 0.500 0.500

---

# 15
Density functional theory data (PBE-GGA) for a relaxed Pa3Si2Os crystal.

Values from the calculation:
Calculated total energy = -8.9332 eV/atom
Calculated volume = 497 Å³ per cell
Energy relative to the elements, uncorrected = -505.9 meV/atom

Unit cell a=4.136 b=10.114 c=11.877 alpha=90.00 beta=90.00 gamma=90.00
Sites, in units of the cell vectors:
Pa 0.250 0.411 0.043
Pa 0.750 0.589 0.957
Pa 0.750 0.911 0.457
Pa 0.250 0.089 0.543
Pa 0.250 0.729 0.229
Pa 0.750 0.271 0.771
Pa 0.750 0.229 0.271
Pa 0.250 0.771 0.729
Pa 0.250 0.430 0.371
Pa 0.750 0.570 0.629
Pa 0.750 0.930 0.129
Pa 0.250 0.070 0.871
Si 0.250 0.705 0.489
Si 0.750 0.295 0.511
Si 0.750 0.205 0.011
Si 0.250 0.795 0.989
Si 0.250 0.013 0.300
Si 0.750 0.987 0.700
Si 0.750 0.513 0.200
Si 0.250 0.487 0.800
Os 0.250 0.144 0.119
Os 0.750 0.856 0.881
Os 0.750 0.644 0.381
Os 0.250 0.356 0.619

---

# 16
Density functional theory data (PBE-GGA) for a relaxed PaSi3Os crystal.

Values from the calculation:
Energy relative to the lowest polymorph listed for this composition = 34 kJ/mol of formula units
Calculated total energy = -7.8854 eV/atom
Calculated volume = 180 Å³ per cell
Energy relative to the elements, uncorrected = -486.5 meV/atom

Unit cell a=5.608 b=5.497 c=5.845 alpha=90.00 beta=90.00 gamma=90.00
Sites, in units of the cell vectors:
Pa 0.424 0.328 0.701
Pa 0.924 0.025 0.201
Si 0.378 0.254 0.201
Si 0.457 0.868 0.977
Si 0.957 0.485 0.477
Si 0.878 0.099 0.701
Si 0.957 0.485 0.925
Si 0.457 0.868 0.425
Os 0.162 0.788 0.701
Os 0.662 0.565 0.201

---

# 17
Density functional theory data (PBE-GGA) for a relaxed Pa3Si2Os2 crystal.

Values from the calculation:
Calculated total energy = -9.3908 eV/atom
Calculated volume = 554 Å³ per cell
Energy relative to the elements, uncorrected = -563.2 meV/atom

Unit cell a=5.512 b=7.689 c=13.075 alpha=90.00 beta=90.00 gamma=90.00
Sites, in units of the cell vectors:
Pa 0.151 0.607 0.102
Pa 0.849 0.393 0.602
Pa 0.849 0.107 0.398
Pa 0.151 0.893 0.898
Pa 0.849 0.393 0.898
Pa 0.151 0.607 0.398
Pa 0.151 0.893 0.602
Pa 0.849 0.107 0.102
Pa 0.369 0.245 0.250
Pa 0.631 0.755 0.750
Pa 0.631 0.745 0.250
Pa 0.369 0.255 0.750
Si 0.332 0.250 0.000
Si 0.668 0.750 0.500
Si 0.668 0.750 0.000
Si 0.332 0.250 0.500
Si 0.877 0.395 0.250
Si 0.123 0.605 0.750
Si 0.123 0.895 0.250
Si 0.877 0.105 0.750
Os 0.631 0.460 0.094
Os 0.369 0.540 0.594
Os 0.369 0.960 0.406
Os 0.631 0.040 0.906
Os 0.369 0.540 0.906
Os 0.631 0.460 0.406
Os 0.631 0.040 0.594
Os 0.369 0.960 0.094

---

# 18
Density functional theory data (PBE-GGA) for a relaxed PaSiOs2 crystal.

Values from the calculation:
Energy relative to the lowest polymorph listed for this composition = 5 kJ/mol of formula units
Calculated total energy = -9.5940 eV/atom
Calculated volume = 71 Å³ per cell
Energy relative to the elements, uncorrected = -249.3 meV/atom

Unit cell a=4.017 b=4.017 c=5.606 alpha=69.00 beta=69.00 gamma=60.00
Sites, in units of the cell vectors:
Si 0.500 0.500 0.500
Pa 0.000 0.000 0.000
Os 0.780 0.780 0.661
Os 0.220 0.220 0.339

---

# 19
Density functional theory data (PBE-GGA) for a relaxed PaSi7Os3 crystal.

Values from the calculation:
Calculated total energy = -7.8881 eV/atom
Calculated volume = 340 Å³ per cell
Energy relative to the elements, uncorrected = -511.2 meV/atom

Unit cell a=7.654 b=7.654 c=8.029 alpha=61.53 beta=61.53 gamma=60.00
Sites, in units of the cell vectors:
Pa 0.500 0.500 0.500
Pa 0.000 0.000 0.000
Si 0.668 0.064 0.414
Si 0.064 0.854 0.414
Si 0.854 0.668 0.414
Si 0.832 0.646 0.086
Si 0.436 0.832 0.086
Si 0.646 0.436 0.086
Si 0.332 0.936 0.586
Si 0.936 0.146 0.586
Si 0.146 0.332 0.586
Si 0.168 0.354 0.914
Si 0.564 0.168 0.914
Si 0.354 0.564 0.914
Si 0.750 0.750 0.750
Si 0.250 0.250 0.250
Os 0.422 0.078 0.750
Os 0.078 0.750 0.750
Os 0.750 0.422 0.750
Os 0.578 0.922 0.250
Os 0.922 0.250 0.250
Os 0.250 0.578 0.250

---

# 20
Density functional theory data (PBE-GGA) for a relaxed Pa2SiOs crystal.

Values from the calculation:
Energy relative to the lowest polymorph listed for this composition = 111 kJ/mol of formula units
Calculated total energy = -9.1178 eV/atom
Calculated volume = 86 Å³ per cell
Energy relative to the elements, uncorrected = -206.7 meV/atom

Unit cell a=4.521 b=4.521 c=5.506 alpha=65.76 beta=65.76 gamma=60.00
Sites, in units of the cell vectors:
Si 0.000 0.000 0.000
Pa 0.754 0.754 0.739
Pa 0.246 0.246 0.261
Os 0.500 0.500 0.500

---

# 21
Density functional theory data (PBE-GGA) for a relaxed Pa2Si3Os2 crystal.

Values from the calculation:
Calculated total energy = -8.8342 eV/atom
Calculated volume = 249 Å³ per cell
Energy relative to the elements, uncorrected = -588.5 meV/atom

Unit cell a=4.114 b=6.775 c=9.171 alpha=90.00 beta=102.96 gamma=90.00
Sites, in units of the cell vectors:
Pa 0.157 0.250 0.314
Pa 0.843 0.750 0.686
Pa 0.948 0.250 0.896
Pa 0.052 0.750 0.104
Si 0.219 0.750 0.438
Si 0.781 0.250 0.562
Si 0.560 0.434 0.121
Si 0.440 0.566 0.879
Si 0.440 0.934 0.879
Si 0.560 0.066 0.121
Os 0.690 0.956 0.380
Os 0.310 0.044 0.620
Os 0.310 0.456 0.620
Os 0.690 0.544 0.380